The following is a DFT calculation (PBE) of crystalline LaPm4Tm2 at its relaxed geometry.

a = 6.212 Å, b = 6.647 Å, c = 11.715 Å
α = 90.00°, β = 104.46°, γ = 90.00°
Space group P2_1/m (No. 11)
One atom of each set of equivalent atoms:
La 0.026 0.250 0.354 x2
Pm 0.154 0.250 0.655 x2
Pm 0.293 0.750 0.936 x2
Pm 0.358 0.504 0.212 x4
Tm 0.145 0.250 0.942 x2
Tm 0.399 0.750 0.498 x2

Energy of formation from the pure elements: 0.119 eV per atom
Offset from the most stable computed form: 0.0760 eV per atom
Total DFT energy (no corrections): -4.5775 eV/atom